No. 1
The following is a DFT calculation (GGA-PBEsol) of an optimized crystal structure of SrScMo.

abc: 2.792 5.199 5.199
angles: 120.00 90.00 90.00
Fractional positions:
Sc: 0.500 0.333 0.667
Sr: 0.500 0.667 0.333
Mo: 0.000 0.000 0.000

## Properties
Space group: P-6m2
Total magnetic moment: 0.0 Bohr magnetons per cell
Calculated volume: 65.4 Å³/cell
Energy of formation: 0.841 eV/atom

***

No. 2
The following is a DFT calculation (GGA-PBEsol) of an optimized crystal structure of TlAgPb2.

abc: 3.397 3.397 10.536
angles: 80.72 80.72 60.00
Fractional positions:
Tl: 0.500 0.500 0.500
Ag: 0.000 0.000 0.000
Pb: 0.259 0.259 0.223
Pb: 0.741 0.741 0.777

## Properties
Excess energy over the best structure of this formula in the dataset: 0.048 eV/atom
Space group: R-3m
Total magnetic moment: 0.0 Bohr magnetons per cell
Calculated volume: 103.5 Å³/cell
Energy of formation: 0.083 eV/atom

***

No. 3
The following is a DFT calculation (GGA-PBEsol) of an optimized crystal structure of MnRhW.

abc: 2.680 2.680 6.553
angles: 90.00 90.00 120.00
Last column: magnetic moment on the atom in μB.
Fractional positions:
Mn: 0.000 0.000 0.993  1.77
W: 0.667 0.333 0.330  -0.10
Rh: 0.333 0.667 0.677  0.04

## Properties
Space group: P3m1
Total magnetic moment: 1.7 Bohr magnetons per cell
Calculated volume: 40.7 Å³/cell
Energy of formation: 0.171 eV/atom

***

No. 4
The following is a DFT calculation (GGA-PBEsol) of an optimized crystal structure of SrCo2Ge2.

abc: 3.967 3.967 6.050
angles: 109.14 109.14 90.00
Fractional positions:
Co: 0.750 0.250 0.500
Co: 0.250 0.750 0.500
Sr: 0.500 0.500 0.000
Ge: 0.139 0.139 0.278
Ge: 0.861 0.861 0.722

## Properties
Space group: I4/mmm
Total magnetic moment: 0.0 Bohr magnetons per cell
Calculated volume: 84.4 Å³/cell
Energy of formation: -0.470 eV/atom

***

No. 5
The following is a DFT calculation (GGA-PBEsol) of an optimized crystal structure of Ba2PtI.

abc: 5.672 5.672 5.672
angles: 60.00 60.00 60.00
Fractional positions:
Pt: 0.500 0.500 0.500
Ba: 0.750 0.750 0.750
Ba: 0.250 0.250 0.250
I: 0.000 0.000 0.000

## Properties
ΔE_f (raw): -0.836 eV/atom
Space group: Fm-3m
Total magnetic moment: 0.0 Bohr magnetons per cell
Calculated volume: 129.0 Å³/cell

***

No. 6
The following is a DFT calculation (GGA-PBEsol) of an optimized crystal structure of Sc2NbPbSe.

abc: 5.024 5.024 5.324
angles: 90.00 90.00 90.00
Fractional positions:
Sc: 0.500 0.000 0.000
Sc: 0.000 0.500 0.000
Pb: 0.000 0.000 0.500
Nb: 0.000 0.000 0.000
Se: 0.500 0.500 0.500

## Properties
ΔE_f (raw): 0.446 eV/atom
Space group: P4/mmm
Total magnetic moment: 0.0 Bohr magnetons per cell
Calculated volume: 134.4 Å³/cell

***

No. 7
The following is a DFT calculation (GGA-PBEsol) of an optimized crystal structure of Li2TlBr.

abc: 3.421 5.686 5.686
angles: 66.74 72.49 72.49
Fractional positions:
Br: 0.000 0.500 0.500
Tl: 0.500 0.000 0.000
Li: 0.289 0.711 0.711
Li: 0.711 0.289 0.289

## Properties
ΔE_f (raw): -0.580 eV/atom
Excess energy over the best structure of this formula in the dataset: 0.110 eV/atom
Space group: Immm
Total magnetic moment: 0.0 Bohr magnetons per cell
Calculated volume: 94.8 Å³/cell

***

No. 8
The following is a DFT calculation (GGA-PBEsol) of an optimized crystal structure of LiMn3Sb.

abc: 4.230 4.230 4.230
angles: 90.00 90.00 90.00
Last column: magnetic moment on the atom in μB.
Fractional positions:
Li: 0.000 0.000 0.000  -0.07
Sb: 0.500 0.500 0.500  -0.09
Mn: 0.000 0.000 0.500  3.33
Mn: 0.500 0.000 0.000  3.33
Mn: 0.000 0.500 0.000  3.33

## Properties
ΔE_f (raw): 0.896 eV/atom
Space group: Pm-3m
Total magnetic moment: 10.1 Bohr magnetons per cell
Calculated volume: 75.7 Å³/cell